Below is a relaxed structure of Zn3GaRh, with properties calculated at the PBE level.

## Properties
energy relative to the lowest polymorph listed for this composition: 1020.7 meV per atom
total energy: -2.1091 eV/atom
DFT formation energy: 0.73 eV/atom

extended XYZ file:
```
5
Lattice="-4.1010 -0.9420 1.7601 -0.8252 -2.8620 -3.4542 1.8178 -3.4242 2.4028" Properties=species:S:1:pos:R:3 pbc="T T T"
Zn -0.4126 -1.4310 -1.7271
Zn 0.9089 -1.7121 1.2014
Zn -2.0505 -0.4710 0.8801
Rh -1.5541 -3.6141 0.3544
Ga 0.0000 0.0000 0.0000
```

=====

Below is a relaxed structure of ZnGa4Rh2, with properties calculated at the PBE level.

## Properties
energy relative to the lowest polymorph listed for this composition: 0.0 meV per atom
total energy: -4.3251 eV/atom
DFT formation energy: -0.31 eV/atom

extended XYZ file:
```
14
Lattice="6.7335 0.0000 -0.2198 0.0000 5.3309 0.0000 -2.7097 0.0000 6.3721" Properties=species:S:1:pos:R:3 pbc="T T T"
Zn 0.6130 3.9981 1.8620
Zn 3.4108 1.3327 4.2903
Ga 3.0923 2.6596 1.2887
Ga -2.1152 3.9981 5.5396
Ga 6.1389 1.3327 0.6127
Ga 3.0923 0.0058 1.2887
Ga -1.0181 1.3327 3.4368
Ga 0.9315 5.3251 4.8635
Ga 0.9315 2.6712 4.8635
Ga 5.0419 3.9981 2.7155
Rh 5.0306 3.9981 0.1988
Rh -1.0068 1.3327 5.9535
Rh 1.4140 1.3327 2.6711
Rh 2.6098 3.9981 3.4812
```

=====

Below is a relaxed structure of Zn3GaRh, with properties calculated at the PBE level.

## Properties
energy relative to the lowest polymorph listed for this composition: 0.0 meV per atom
total energy: -3.1298 eV/atom
DFT formation energy: -0.29 eV/atom

extended XYZ file:
```
20
Lattice="-2.4064 -0.8578 6.1577 6.1617 -1.2085 2.2396 0.8281 6.4998 1.2290" Properties=species:S:1:pos:R:3 pbc="T T T"
Zn 2.4073 1.3953 1.5059
Zn 6.0630 4.3398 4.4855
Zn 0.9385 -0.3360 3.0027
Zn 4.5192 2.6164 3.0566
Zn -0.0748 2.1046 2.3611
Zn 3.4465 3.9943 5.1412
Zn 0.0512 3.9832 4.5545
Zn 1.7965 -0.4409 5.7610
Zn -0.0216 5.1650 7.0026
Zn 3.7308 1.4216 6.1908
Zn 1.3822 2.8636 6.6449
Zn 3.2619 -0.5058 8.0510
Ga 3.7313 3.6092 7.8365
Ga -0.2449 1.2284 5.0261
Ga 3.6246 0.1101 3.6987
Ga 2.0559 3.9193 2.6913
Rh -1.4262 2.7626 6.6102
Rh 4.4922 -1.2246 5.6286
Rh 2.0156 1.9496 4.2331
Rh 4.0853 5.3794 2.7807
```

=====

Below is a relaxed structure of ZnGaRh, with properties calculated at the PBE level.

## Properties
total energy: -4.2783 eV/atom
DFT formation energy: -0.39 eV/atom

extended XYZ file:
```
3
Lattice="3.1752 0.0000 0.0000 0.0000 3.1752 0.0000 -1.5876 -1.5876 4.2770" Properties=species:S:1:pos:R:3 pbc="T T T"
Zn 1.5876 1.5876 0.9858
Rh 1.5876 1.5876 3.8204
Ga 0.0000 0.0000 2.4647
```

=====

Below is a relaxed structure of Zn4GaRh, with properties calculated at the PBE level.

## Properties
energy relative to the lowest polymorph listed for this composition: 0.0 meV per atom
total energy: -2.7868 eV/atom
DFT formation energy: -0.21 eV/atom

extended XYZ file:
```
12
Lattice="-3.3465 2.7991 2.0793 2.5989 0.2797 4.3517 4.7599 6.0967 -0.2736" Properties=species:S:1:pos:R:3 pbc="T T T"
Zn 2.4797 3.3206 2.8255
Zn 1.7525 0.9055 3.4535
Zn 2.7906 6.0388 5.5564
Zn 4.4508 7.7334 4.4943
Zn 1.5325 5.8549 3.3319
Zn 1.2216 3.1368 0.6011
Zn 2.2597 8.2700 2.7040
Zn -0.4386 1.4421 1.6631
Ga -0.3063 3.7957 3.0953
Ga 4.3185 5.3799 3.0621
Rh 1.0428 4.0210 5.2360
Rh 2.9694 5.1545 0.9214
```

=====

Below is a relaxed structure of Zn5GaRh2, with properties calculated at the PBE level.

## Properties
energy relative to the lowest polymorph listed for this composition: 149.4 meV per atom
total energy: -3.1954 eV/atom
DFT formation energy: -0.18 eV/atom

extended XYZ file:
```
16
Lattice="-1.3416 -0.5522 3.8165 -1.1838 -5.3468 -3.3737 9.4305 -3.8301 2.7610" Properties=species:S:1:pos:R:3 pbc="T T T"
Zn 6.0378 -8.0405 3.1432
Zn 3.8345 -7.1456 2.4981
Zn 3.5470 -5.4622 0.4566
Zn 8.2592 -7.3760 1.8362
Zn 0.8474 -3.7786 1.9352
Zn 6.0577 -5.9505 1.2686
Zn 3.3580 -4.2669 2.7471
Zn -1.3541 -2.3531 1.3675
Zn 0.8673 -1.6887 0.0606
Zn 3.0705 -2.5835 0.7056
Ga 6.1017 -4.0592 3.7417
Ga 0.8033 -5.6699 -0.5379
Rh 1.5377 -6.2537 1.8198
Rh -1.1197 -5.1745 1.0417
Rh 5.3673 -3.4754 1.3840
Rh 8.0247 -4.5547 2.1620
```

=====

Below is a relaxed structure of ZnGaRh, with properties calculated at the PBE level.

## Properties
total energy: -4.3027 eV/atom
DFT formation energy: -0.42 eV/atom

extended XYZ file:
```
6
Lattice="-0.4092 2.3186 -1.7963 -6.7017 -1.3073 -0.1607 1.2395 1.6883 4.3379" Properties=species:S:1:pos:R:3 pbc="T T T"
Zn -5.6066 0.7600 2.2584
Zn -0.2647 1.9395 0.1226
Ga -1.9432 1.3681 2.2086
Ga -3.9282 1.3314 0.1724
Rh -4.0364 2.9482 2.2839
Rh -1.8349 -0.2487 0.0971
```

=====

Below is a relaxed structure of ZnGaRh, with properties calculated at the PBE level.

## Properties
total energy: -4.2336 eV/atom
DFT formation energy: -0.35 eV/atom

extended XYZ file:
```
6
Lattice="-0.8285 -1.9099 1.9603 5.0902 0.8528 2.9823 -1.9754 4.9734 1.9250" Properties=species:S:1:pos:R:3 pbc="T T T"
Zn 1.7272 2.4966 5.2480
Zn 0.5591 1.4198 1.6196
Ga -0.8671 2.1533 3.8171
Ga 3.1533 1.7630 3.0505
Rh 2.1308 -0.5285 2.4713
Rh -0.4143 -0.9549 0.9801
```